1.
VASP calculation (GGA-PBE) on a relaxed Ag2SnF crystal.

a b c (Å): 7.457 7.457 5.935
angles (deg): 51.08 51.08 90.00
Sites, in units of the cell vectors:
1 Ag 0.375 0.414 0.750
2 F 0.250 0.750 0.500
3 Ag 0.164 0.625 0.250
4 F 0.500 0.500 0.000
5 Ag 0.875 0.836 0.750
6 Ag 0.586 0.125 0.250
7 Sn 0.750 0.250 0.500
8 Sn 0.000 0.000 0.000

Calculated values
E above lowest polymorph = 0 meV per atom
E = -3.3681 eV per atom
E_form (uncorrected) = -0.47 eV/atom
V = 18.93 A^3/atom
spin magnetization = 0.0 μB per cell

2.
VASP calculation (GGA-PBE) on a relaxed Ac2NdSm crystal.

a b c (Å): 3.869 3.869 10.515
angles (deg): 90.00 90.00 90.00
Sites, in units of the cell vectors:
1 Nd 0.500 0.500 0.500
2 Ac 0.000 0.000 0.752
3 Sm 0.500 0.500 0.000
4 Ac 0.000 0.000 0.248

Calculated values
calculated formation energy = 0.033 eV per atom
E above lowest polymorph = 5 meV per atom
E = -4.3927 eV per atom
V = 39.35 A^3/atom
spin magnetization = 0.0 μB per cell

3.
VASP calculation (GGA-PBE) on a relaxed Ta2OsAu crystal.

a b c (Å): 7.323 7.323 5.885
angles (deg): 51.53 51.53 90.00
Sites, in units of the cell vectors:
1 Os 0.250 0.750 0.500
2 Ta 0.594 0.125 0.250
3 Ta 0.156 0.625 0.250
4 Ta 0.875 0.844 0.750
5 Au 0.750 0.250 0.500
6 Os 0.500 0.500 0.000
7 Ta 0.375 0.406 0.750
8 Au 0.000 0.000 0.000

Calculated values
calculated formation energy = 0.409 eV per atom
E above lowest polymorph = 552 meV per atom
E = -9.1439 eV per atom
V = 18.75 A^3/atom
spin magnetization = 0.0 μB per cell

4.
VASP calculation (GGA-PBE) on a relaxed Pm6TmTh3 crystal.

a b c (Å): 3.522 16.693 11.966
angles (deg): 72.29 89.93 90.02
Sites, in units of the cell vectors:
1 Pm 0.751 0.180 0.369
2 Tm 0.249 0.266 0.856
3 Pm 0.250 0.782 0.371
4 Th 0.751 0.974 0.385
5 Pm 0.250 0.368 0.395
6 Pm 0.252 0.317 0.120
7 Pm 0.750 0.218 0.629
8 Tm 0.751 0.734 0.144
9 Pm 0.250 0.942 0.134
10 Th 0.749 0.132 0.110
11 Th 0.750 0.425 0.623
12 Pm 0.748 0.683 0.880
13 Pm 0.249 0.820 0.631
14 Pm 0.750 0.632 0.605
15 Th 0.249 0.026 0.615
16 Th 0.251 0.868 0.890
17 Pm 0.751 0.514 0.146
18 Pm 0.750 0.058 0.866
19 Pm 0.249 0.486 0.854
20 Th 0.250 0.575 0.377

Calculated values
calculated formation energy = 0.115 eV per atom
E = -5.4085 eV per atom
V = 33.51 A^3/atom
spin magnetization = 0.0 μB per cell

5.
VASP calculation (GGA-PBE) on a relaxed TcW crystal.

a b c (Å): 2.775 2.775 9.331
angles (deg): 90.00 90.00 120.00
Sites, in units of the cell vectors:
1 W 0.000 0.000 0.492
2 Tc 0.333 0.667 0.239
3 W 0.333 0.667 0.758
4 Tc 0.000 0.000 0.011

Calculated values
calculated formation energy = 0.237 eV per atom
E above lowest polymorph = 172 meV per atom
E = -11.4231 eV per atom
V = 15.56 A^3/atom
spin magnetization = 0.0 μB per cell

6.
VASP calculation (GGA-PBE) on a relaxed LaNdTlAg crystal.

a b c (Å): 3.789 3.789 8.076
angles (deg): 90.00 90.00 90.00
Each line ends with the local moment (μB).
Sites, in units of the cell vectors:
1 Nd 0.000 0.000 0.372  0.12
2 Tl 0.500 0.500 0.114  0.00
3 Ag 0.500 0.500 0.596  0.01
4 La 0.000 0.000 0.846  0.13

Calculated values
calculated formation energy = -0.327 eV per atom
E = -4.0557 eV per atom
V = 28.99 A^3/atom
spin magnetization = 0.6 μB per cell

7.
VASP calculation (GGA-PBE) on a relaxed Pr2ZnRh crystal.

a b c (Å): 4.524 5.940 8.006
angles (deg): 111.40 90.00 90.00
Sites, in units of the cell vectors:
1 Pr 0.250 0.785 0.064
2 Pr 0.750 0.231 0.422
3 Zn 0.750 0.651 0.287
4 Rh 0.750 0.638 0.786
5 Pr 0.750 0.215 0.936
6 Pr 0.250 0.769 0.578
7 Rh 0.250 0.362 0.214
8 Zn 0.250 0.349 0.713

Calculated values
calculated formation energy = -0.508 eV per atom
E = -5.0536 eV per atom
V = 25.03 A^3/atom
spin magnetization = 0.0 μB per cell

8.
VASP calculation (GGA-PBE) on a relaxed Np2SeS3 crystal.

a b c (Å): 7.428 7.428 7.428
angles (deg): 58.49 58.49 58.49
Each line ends with the local moment (μB).
Sites, in units of the cell vectors:
1 Np 0.646 0.646 0.646  3.53
2 S 0.750 0.477 0.023  -0.16
3 Se 0.500 0.500 0.500  -0.34
4 Se 0.000 0.000 0.000  -0.34
5 Np 0.854 0.854 0.854  3.53
6 Np 0.146 0.146 0.146  3.53
7 S 0.250 0.523 0.977  -0.16
8 Np 0.354 0.354 0.354  3.53
9 S 0.977 0.250 0.523  -0.16
10 S 0.023 0.750 0.477  -0.16
11 S 0.523 0.977 0.250  -0.16
12 S 0.477 0.023 0.750  -0.16

Calculated values
E above lowest polymorph = 202 meV per atom
E = -7.9299 eV per atom
E_form (uncorrected) = -0.97 eV/atom
V = 23.32 A^3/atom
spin magnetization = 12.7 μB per cell

9.
VASP calculation (GGA-PBE) on a relaxed SbPdPtAu crystal.

a b c (Å): 4.652 4.652 4.652
angles (deg): 60.00 60.00 60.00
Sites, in units of the cell vectors:
1 Au 0.500 0.500 0.500
2 Pt 0.750 0.750 0.750
3 Sb 0.000 0.000 0.000
4 Pd 0.250 0.250 0.250

Calculated values
E = -4.8576 eV per atom
E_form (uncorrected) = -0.20 eV/atom
V = 17.79 A^3/atom
spin magnetization = 0.0 μB per cell

10.
VASP calculation (GGA-PBE) on a relaxed Au5C4 crystal.

a b c (Å): 6.073 6.073 6.073
angles (deg): 112.29 112.29 103.97
Sites, in units of the cell vectors:
1 C 0.405 0.000 0.405
2 C 0.000 0.405 0.405
3 Au 0.291 0.709 0.000
4 Au 0.709 0.709 0.417
5 Au 0.291 0.291 0.583
6 C 0.595 0.000 0.595
7 Au 0.000 0.000 0.000
8 Au 0.709 0.291 0.000
9 C 0.000 0.595 0.595

Calculated values
calculated formation energy = 1.093 eV per atom
E above lowest polymorph = 0 meV per atom
E = -4.8276 eV per atom
V = 19.03 A^3/atom
spin magnetization = 0.0 μB per cell

11.
VASP calculation (GGA-PBE) on a relaxed Ac3Ag2Au3 crystal.

a b c (Å): 4.722 6.274 16.154
angles (deg): 90.00 90.00 112.11
Sites, in units of the cell vectors:
1 Au 0.606 0.212 0.046
2 Ac 0.094 0.187 0.900
3 Ag 0.205 0.411 0.106
4 Au 0.357 0.715 0.250
5 Ac 0.636 0.271 0.250
6 Ac 0.906 0.813 0.100
7 Au 0.394 0.788 0.954
8 Ac 0.906 0.813 0.400
9 Au 0.643 0.285 0.750
10 Ag 0.205 0.411 0.394
11 Au 0.606 0.212 0.454
12 Ac 0.364 0.729 0.750
13 Ac 0.094 0.187 0.600
14 Au 0.394 0.788 0.546
15 Ag 0.795 0.589 0.606
16 Ag 0.795 0.589 0.894

Calculated values
calculated formation energy = -0.623 eV per atom
E = -4.1050 eV per atom
V = 27.71 A^3/atom
spin magnetization = 0.0 μB per cell

12.
VASP calculation (GGA-PBE) on a relaxed TbHRh crystal.

a b c (Å): 3.716 3.777 3.777
angles (deg): 120.00 90.00 90.00
Sites, in units of the cell vectors:
1 Rh 0.167 0.000 0.000
2 H 0.167 0.667 0.333
3 Tb 0.667 0.333 0.667

Calculated values
E above lowest polymorph = 316 meV per atom
E = -5.4979 eV per atom
V = 15.30 A^3/atom
spin magnetization = 0.0 μB per cell